The following is a PBE+U calculation of a geometry-optimized Pm3WO7 structure, from the Alexandria database.

Output
- energy (eV/atom) = -8.18

a b c (Å): 7.705 10.832 7.674
angles (deg): 90.00 90.00 90.00
Space group C222_1 (No. 20)
One atom of each set of equivalent atoms:
Pm 0.020 0.000 0.000 [4 per cell]
Pm 0.233 0.267 0.754 [8 per cell]
W 0.000 0.500 0.000 [4 per cell]
O 0.000 0.131 0.250 [4 per cell]
O 0.000 0.135 0.750 [4 per cell]
O 0.000 0.432 0.750 [4 per cell]
O 0.187 0.376 0.032 [8 per cell]
O 0.199 0.380 0.474 [8 per cell]